1.
A plane-wave DFT calculation with PBE was carried out for Ac2Nd5Dy5 after structural relaxation.

Cell: 12.337 5.836 12.391 Å, 90.00 109.26 90.00°
Space group C2/m (No. 12)
Inequivalent atoms, fractional coordinates:
Ac 0.047 0.000 0.202 (multiplicity 4)
Nd 0.000 0.000 0.500 (multiplicity 2)
Nd 0.220 0.000 0.034 (multiplicity 4)
Nd 0.249 0.000 0.740 (multiplicity 4)
Dy 0.000 0.500 0.000 (multiplicity 2)
Dy 0.044 0.500 0.704 (multiplicity 4)
Dy 0.206 0.500 0.539 (multiplicity 4)

Output
Formation energy from the elements ... 0.0869 eV per atom

2.
A plane-wave DFT calculation with PBE was carried out for ThNbZn4 after structural relaxation.

Cell: 7.576 7.576 7.576 Å, 90.00 90.00 90.00°
Space group F-43m (No. 216)
Inequivalent atoms, fractional coordinates:
Th 0.000 0.000 0.000 (multiplicity 4)
Nb 0.250 0.250 0.250 (multiplicity 4)
Zn 0.123 0.123 0.623 (multiplicity 16)

Output
Formation energy from the elements ... -0.1311 eV per atom

3.
A plane-wave DFT calculation with PBE was carried out for ZrUCu after structural relaxation.

Cell: 4.947 9.391 10.168 Å, 90.00 90.00 90.00°
Space group Fmmm (No. 69)
Inequivalent atoms, fractional coordinates:
Zr 0.000 0.000 0.149 (multiplicity 8)
U 0.000 0.173 0.500 (multiplicity 8)
Cu 0.250 0.250 0.250 (multiplicity 8)

Output
Formation energy from the elements ... 0.0934 eV per atom

4.
A plane-wave DFT calculation with PBE was carried out for AgPd2Pb6 after structural relaxation.

Cell: 7.208 7.259 10.421 Å, 90.00 120.89 90.00°
Space group P2_1/c (No. 14)
Inequivalent atoms, fractional coordinates:
Ag 0.000 0.000 0.000 (multiplicity 2)
Pd 0.215 0.145 0.742 (multiplicity 4)
Pb 0.106 0.139 0.425 (multiplicity 4)
Pb 0.310 0.682 0.435 (multiplicity 4)
Pb 0.435 0.013 0.272 (multiplicity 4)

Output
Formation energy from the elements ... -0.0518 eV per atom
Energy above the most stable polymorph in this dataset ... 0.048 eV per atom

5.
A plane-wave DFT calculation with PBE was carried out for Ba3Pd2O6 after structural relaxation.

Cell: 4.153 4.153 21.475 Å, 90.00 90.00 90.00°
Space group I4/mmm (No. 139)
Inequivalent atoms, fractional coordinates:
Ba 0.000 0.000 0.000 (multiplicity 2)
Ba 0.000 0.000 0.180 (multiplicity 4)
Pd 0.000 0.000 0.400 (multiplicity 4)
O 0.000 0.000 0.303 (multiplicity 4)
O 0.000 0.500 0.087 (multiplicity 8)

Output
Raw formation energy ... -1.5973 eV/atom

6.
A plane-wave DFT calculation with PBE was carried out for ZnIrAu after structural relaxation.

Cell: 11.787 2.850 2.849 Å, 90.00 103.79 90.00°
Space group Cm (No. 8)
Inequivalent atoms, fractional coordinates:
Zn 0.000 0.000 0.000 (multiplicity 2)
Ir 0.352 0.000 0.353 (multiplicity 2)
Au 0.171 0.500 0.671 (multiplicity 2)

Output
Formation energy from the elements ... 0.0482 eV per atom
Energy above the most stable polymorph in this dataset ... 0.163 eV per atom

7.
A plane-wave DFT calculation with PBE was carried out for PaOF2 after structural relaxation.

Cell: 3.415 3.415 9.896 Å, 90.00 90.00 90.00°
Space group P4/nmm (No. 129, origin choice 2)
Inequivalent atoms, fractional coordinates:
Pa 0.250 0.250 0.191 (multiplicity 2)
O 0.250 0.250 0.785 (multiplicity 2)
F 0.250 0.250 0.396 (multiplicity 2)
F 0.250 0.750 0.000 (multiplicity 2)

Output
Energy above the most stable polymorph in this dataset ... 0.000 eV per atom
Raw formation energy ... -3.3833 eV/atom

8.
A plane-wave DFT calculation with PBE was carried out for CaCo2GeC after structural relaxation.

Cell: 3.868 10.506 6.855 Å, 90.00 90.00 90.00°
Space group Cmcm (No. 63)
Inequivalent atoms, fractional coordinates:
Ca 0.000 0.050 0.250 (multiplicity 4)
Co 0.000 0.339 0.059 (multiplicity 8)
Ge 0.000 0.230 0.750 (multiplicity 4)
C 0.000 0.500 0.000 (multiplicity 4)

Output
Formation energy from the elements ... -0.2594 eV per atom

9.
A plane-wave DFT calculation with PBE was carried out for MnCuP after structural relaxation.

Cell: 2.865 2.865 8.709 Å, 90.00 90.00 90.00°
Space group I4mm (No. 107)
Inequivalent atoms, fractional coordinates:
Mn 0.000 0.000 0.000 (multiplicity 2)
Cu 0.000 0.000 0.697 (multiplicity 2)
P 0.000 0.000 0.378 (multiplicity 2)

Output
Formation energy from the elements ... -0.0087 eV per atom
Energy above the most stable polymorph in this dataset ... 0.284 eV per atom

10.
A plane-wave DFT calculation with PBE was carried out for CaGaCu2 after structural relaxation.

Cell: 4.671 4.671 16.592 Å, 90.00 90.00 90.00°
Space group I4_1/amd (No. 141, origin choice 2)
Inequivalent atoms, fractional coordinates:
Ca 0.000 0.250 0.375 (multiplicity 4)
Ga 0.000 0.250 0.875 (multiplicity 4)
Cu 0.000 0.000 0.000 (multiplicity 8)

Output
Formation energy from the elements ... -0.0457 eV per atom

11.
A plane-wave DFT calculation with PBE was carried out for La2Sm6Ho after structural relaxation.

Cell: 6.297 6.325 8.158 Å, 82.66 75.13 80.44°
Space group P-1 (No. 2)
Inequivalent atoms, fractional coordinates:
La 0.056 0.110 0.279 (multiplicity 2)
Sm 0.168 0.332 0.833 (multiplicity 2)
Sm 0.280 0.554 0.390 (multiplicity 2)
Sm 0.389 0.776 0.944 (multiplicity 2)
Ho 0.500 0.000 0.500 (multiplicity 1)

Output
Formation energy from the elements ... 0.0211 eV per atom
Energy above the most stable polymorph in this dataset ... 0.000 eV per atom

12.
A plane-wave DFT calculation with PBE was carried out for CuPtSe2Br after structural relaxation.

Cell: 4.959 4.959 5.219 Å, 90.00 90.00 90.00°
Space group P4/mmm (No. 123)
Inequivalent atoms, fractional coordinates:
Cu 0.000 0.000 0.000 (multiplicity 1)
Pt 0.500 0.500 0.500 (multiplicity 1)
Se 0.000 0.500 0.500 (multiplicity 2)
Br 0.500 0.500 0.000 (multiplicity 1)

Output
Energy above the most stable polymorph in this dataset ... 0.000 eV per atom
Raw formation energy ... 0.6156 eV/atom

Number 1: DOS at the Fermi energy 35.38 states/eV per cell. Number 2: DOS at the Fermi energy 11.80 states/eV per cell. Number 3: DOS at the Fermi energy 50.67 states/eV per cell. Number 4: DOS at the Fermi energy 8.91 states/eV per cell. Number 5: DOS at the Fermi energy 8.81 states/eV per cell. Number 6: DOS at the Fermi energy 5.24 states/eV per cell. Number 7: DOS at the Fermi energy 3.55 states/eV per cell. Number 8: DOS at the Fermi energy 8.42 states/eV per cell. Number 9: DOS at the Fermi energy 2.05 states/eV per cell. Number 10: DOS at the Fermi energy 10.70 states/eV per cell. Number 11: DOS at the Fermi energy 14.43 states/eV per cell. Number 12: DOS at the Fermi energy 7.09 states/eV per cell.